Entry from the Alexandria database: Mn2CdHg after structural relaxation (PBE).

Computed properties:
Energy of formation, eV per atom: 0.63
Crystal system: tetragonal
Final energy, eV per cell: -34.1
Size of the total moment, μB/f.u.: 7.59
Calculated volume, Å³ per atom: 20.0
Relative energy among the computed polymorphs, eV per formula unit: 1.60
Space-group type: I-42d

Unit cell a=6.0044 b=6.0044 c=6.0044 alpha=103.20 beta=103.20 gamma=122.91
Last column: nearest neighbours and their distance in Å.
Sites, in units of the cell vectors:
1 Mn 0.1180 0.6250 0.9930  2 Hg 2.70, 2 Cd 2.77, 2 Mn 2.87
2 Mn 0.3750 0.3680 0.4930  2 Hg 2.70, 2 Cd 2.77, 2 Mn 2.87
3 Mn 0.6320 0.1250 0.0070  2 Hg 2.70, 2 Cd 2.77, 2 Mn 2.87
4 Mn 0.8750 0.8820 0.5070  2 Hg 2.70, 2 Cd 2.77, 2 Mn 2.87
5 Cd 0.2500 0.7500 0.5000  4 Mn 2.77, 2 Hg 2.87
6 Cd 0.5000 0.5000 0.0000  4 Mn 2.77, 2 Hg 2.87
7 Hg 0.0000 0.0000 0.0000  4 Mn 2.70, 2 Cd 2.87
8 Hg 0.7500 0.2500 0.5000  4 Mn 2.70, 2 Cd 2.87

***

Entry from the Alexandria database: Mn2CdHg after structural relaxation (PBE).

Computed properties:
Energy of formation, eV per atom: 0.37
Crystal system: trigonal
Final energy, eV per cell: -18.1
Size of the total moment, μB/f.u.: 7.28
Calculated volume, Å³ per atom: 18.7
Relative energy among the computed polymorphs, eV per formula unit: 0.56
Space-group type: R3m

Unit cell a=9.9061 b=9.9061 c=9.9061 alpha=17.26 beta=17.26 gamma=17.26
Last column: nearest neighbours and their distance in Å.
Sites, in units of the cell vectors:
1 Mn 0.0000 0.0000 0.0000  9 Mn 2.68-2.97, 3 Hg 2.95
2 Mn 0.2631 0.2631 0.2631  9 Mn 2.68-2.97, 3 Cd 2.95
3 Cd 0.5144 0.5144 0.5144  3 Mn 2.95, 6 Cd 2.97
4 Hg 0.7485 0.7485 0.7485  3 Mn 2.95, 6 Hg 2.97

***

Entry from the Alexandria database: Mn2CdHg after structural relaxation (PBE).

Computed properties:
Energy of formation, eV per atom: 0.32
Crystal system: monoclinic
Final energy, eV per cell: -18.3
Size of the total moment, μB/f.u.: 7.49
Calculated volume, Å³ per atom: 18.0
Relative energy among the computed polymorphs, eV per formula unit: 0.37
Space-group type: C2/m

Unit cell a=4.3074 b=4.3074 c=3.8727 alpha=90.11 beta=90.11 gamma=90.13
Last column: nearest neighbours and their distance in Å.
Sites, in units of the cell vectors:
1 Mn 0.0000 0.5000 0.0000  4 Hg 2.89-2.90, 4 Cd 2.89-2.90, 4 Mn 3.04-3.05
2 Mn 0.5000 0.0000 0.0000  4 Hg 2.89-2.90, 4 Cd 2.89-2.90, 4 Mn 3.04-3.05
3 Cd 0.0000 0.0000 0.5000  8 Mn 2.89-2.90, 4 Hg 3.04-3.05
4 Hg 0.5000 0.5000 0.5000  8 Mn 2.89-2.90, 4 Cd 3.04-3.05

***

Entry from the Alexandria database: Mn2CdHg after structural relaxation (PBE).

Computed properties:
Energy of formation, eV per atom: 0.38
Crystal system: trigonal
Final energy, eV per cell: -18.0
Size of the total moment, μB/f.u.: 7.43
Calculated volume, Å³ per atom: 18.5
Relative energy among the computed polymorphs, eV per formula unit: 0.63
Space-group type: R-3m

Unit cell a=9.3592 b=9.3592 c=9.3592 alpha=18.74 beta=18.74 gamma=18.74
Last column: nearest neighbours and their distance in Å.
Sites, in units of the cell vectors:
1 Mn 0.2502 0.2502 0.2502  3 Hg 2.89, 3 Cd 2.90, 6 Mn 3.05
2 Mn 0.7498 0.7498 0.7498  3 Hg 2.89, 3 Cd 2.90, 6 Mn 3.05
3 Cd 0.5000 0.5000 0.5000  6 Mn 2.90, 6 Cd 3.05
4 Hg 0.0000 0.0000 0.0000  6 Mn 2.89, 6 Hg 3.05

***

Entry from the Alexandria database: Mn2CdHg after structural relaxation (PBE).

Computed properties:
Energy of formation, eV per atom: 0.32
Crystal system: tetragonal
Final energy, eV per cell: -18.3
Size of the total moment, μB/f.u.: 7.49
Calculated volume, Å³ per atom: 18.0
Relative energy among the computed polymorphs, eV per formula unit: 0.37
Space-group type: I4/mmm

Unit cell a=4.9413 b=4.9413 c=4.9413 alpha=128.53 beta=128.53 gamma=75.77
Last column: nearest neighbours and their distance in Å.
Sites, in units of the cell vectors:
1 Mn 0.2500 0.7500 0.5000  4 Cd 2.90, 4 Hg 2.90, 4 Mn 3.03
2 Mn 0.7500 0.2500 0.5000  4 Cd 2.90, 4 Hg 2.90, 4 Mn 3.03
3 Cd 0.0000 0.0000 0.0000  8 Mn 2.90, 4 Hg 3.03
4 Hg 0.5000 0.5000 0.0000  8 Mn 2.90, 4 Cd 3.03

***

Entry from the Alexandria database: Mn2CdHg after structural relaxation (PBE).

Computed properties:
Energy of formation, eV per atom: 0.44
Crystal system: cubic
Final energy, eV per cell: -17.8
Size of the total moment, μB/f.u.: 7.82
Calculated volume, Å³ per atom: 18.3
Relative energy among the computed polymorphs, eV per formula unit: 0.87
Space-group type: F-43m

Unit cell a=4.6986 b=4.6986 c=4.6986 alpha=60.00 beta=60.00 gamma=60.00
Last column: nearest neighbours and their distance in Å.
Sites, in units of the cell vectors:
1 Mn 0.0000 0.0000 0.0000  4 Hg 2.88, 4 Mn 2.88
2 Mn 0.2500 0.2500 0.2500  4 Cd 2.88, 4 Mn 2.88
3 Cd 0.5000 0.5000 0.5000  4 Hg 2.88, 4 Mn 2.88
4 Hg 0.7500 0.7500 0.7500  4 Cd 2.88, 4 Mn 2.88